# 1
Material: TlAg5
Method: DFT, PBE
State: relaxed

Lattice parameters (Å, degrees): 5.599 5.599 5.599 60.00 60.00 60.00
Sites, in units of the cell vectors:
1 Tl 0.000 0.000 0.000
2 Ag 0.250 0.250 0.250
3 Ag 0.625 0.625 0.625
4 Ag 0.625 0.625 0.126
5 Ag 0.126 0.625 0.625
6 Ag 0.625 0.126 0.625

Computed properties:
space-group type: F-43m, No. 216
E_form: 83.1 kJ/mol of formula units
D(E_F): 0.63 states/eV per atom
raw total energy: -2.627 eV per atom

---

# 2
Material: Tl2Ag17
Method: DFT, PBE
State: relaxed

Lattice parameters (Å, degrees): 7.342 7.342 7.342 82.89 82.89 82.89
Sites, in units of the cell vectors:
1 Tl 0.650 0.650 0.650
2 Tl 0.350 0.350 0.350
3 Ag 0.348 0.348 0.848
4 Ag 0.348 0.848 0.348
5 Ag 0.100 0.100 0.100
6 Ag 0.900 0.900 0.900
7 Ag 0.000 0.000 0.500
8 Ag 0.500 0.000 0.000
9 Ag 0.000 0.500 0.000
10 Ag 0.301 0.699 0.000
11 Ag 0.000 0.301 0.699
12 Ag 0.699 0.000 0.301
13 Ag 0.699 0.301 0.000
14 Ag 0.000 0.699 0.301
15 Ag 0.301 0.000 0.699
16 Ag 0.652 0.152 0.652
17 Ag 0.652 0.652 0.152
18 Ag 0.152 0.652 0.652
19 Ag 0.848 0.348 0.348

Computed properties:
space-group type: R-3m, No. 166
E_form: 207.2 kJ/mol of formula units
D(E_F): 0.34 states/eV per atom
raw total energy: -2.687 eV per atom

---

# 3
Material: TlAg6
Method: DFT, PBE
State: relaxed

Lattice parameters (Å, degrees): 6.531 6.531 6.531 109.47 109.47 109.47
Sites, in units of the cell vectors:
1 Tl 0.000 0.000 0.000
2 Ag 0.250 0.750 0.500
3 Ag 0.500 0.750 0.250
4 Ag 0.250 0.500 0.750
5 Ag 0.750 0.250 0.500
6 Ag 0.500 0.250 0.750
7 Ag 0.750 0.500 0.250

Computed properties:
space-group type: Im-3m, No. 229
E_form: 392.7 kJ/mol of formula units
D(E_F): 0.11 states/eV per atom
raw total energy: -2.201 eV per atom

---

# 4
Material: Tl2Ag
Method: DFT, PBE
State: relaxed

Lattice parameters (Å, degrees): 5.034 5.034 3.441 90.00 90.00 90.00
Sites, in units of the cell vectors:
1 Tl 0.000 0.500 0.500
2 Tl 0.500 0.000 0.500
3 Ag 0.000 0.000 0.000

Computed properties:
space-group type: P4/mmm, No. 123
E_form: 50.8 kJ/mol of formula units
D(E_F): 0.77 states/eV per atom
raw total energy: -2.352 eV per atom

---

Question: The highest raw total energy belongs to which entry?
Answer: TlAg6

---

Question: Which formula does entry 3 have?
Answer: TlAg6